No. 1
First-principles (PBE) data for an optimized crystal structure of VCoCuRu, as listed in the Alexandria database.

Cell and atoms, written as POSCAR:
```
VCoCuRu
1.0
0.000 2.921 2.921
2.921 0.000 2.921
2.921 2.921 0.000
V Co Cu Ru
1 1 1 1
Cartesian
0.000 0.000 0.000
1.461 1.461 1.461
2.921 2.921 2.921
4.382 4.382 4.382
```

Calculated values
energy of formation	0.002	eV/atom
space group	F-43m, No. 216
calculated total energy	-7.398	eV/atom
total magnetic moment	0.702	μB/f.u.

=====

No. 2
First-principles (PBE) data for an optimized crystal structure of Rb2U3HgO12, as listed in the Alexandria database.

Cell and atoms, written as POSCAR:
```
Rb2U3HgO12
1.0
4.053 2.340 6.235
-4.053 2.340 6.235
0.000 -4.680 6.235
Rb U Hg O
2 3 1 12
Cartesian
0.000 0.000 2.590
0.000 0.000 16.115
-2.026 -1.170 6.235
-2.026 1.170 12.470
0.000 2.340 6.235
0.000 0.000 9.352
-1.724 -0.996 8.151
0.000 -1.738 5.902
-1.505 0.869 5.902
0.000 -1.991 10.553
-1.724 0.996 10.553
-1.505 -0.869 12.803
1.505 0.869 5.902
1.724 -0.996 8.151
0.000 1.991 8.151
1.505 -0.869 12.803
0.000 1.738 12.803
1.724 0.996 10.553
```

Calculated values
space group	R-3m, No. 166
calculated total energy	-7.661	eV/atom
formation energy from raw total energies	-2.35	eV/atom
total magnetic moment	0.000	μB/f.u.

=====

No. 3
First-principles (PBE) data for an optimized crystal structure of LiRhO3, as listed in the Alexandria database.

Cell and atoms, written as POSCAR:
```
LiRhO3
1.0
5.915 0.000 0.000
0.000 5.915 0.000
0.000 0.000 5.915
Li Rh O
4 4 12
Cartesian
0.764 2.193 3.721
2.193 3.721 0.764
3.721 0.764 2.193
5.151 5.151 5.151
0.552 5.363 2.405
2.405 0.552 5.363
3.509 3.509 3.509
5.363 2.405 0.552
0.112 4.288 0.812
0.812 0.112 4.288
1.331 2.145 5.802
1.627 3.770 2.845
2.145 5.802 1.331
2.845 1.627 3.770
3.070 4.584 5.102
3.770 2.845 1.627
4.288 0.812 0.112
4.584 5.102 3.070
5.102 3.070 4.584
5.802 1.331 2.145
```

Calculated values
space group	P2_13, No. 198
calculated total energy	-5.718	eV/atom
formation energy from raw total energies	-0.89	eV/atom
total magnetic moment	1.955	μB/f.u.

=====

No. 4
First-principles (PBE) data for an optimized crystal structure of GaAs2SeO, as listed in the Alexandria database.

Cell and atoms, written as POSCAR:
```
GaAs2SeO
1.0
4.918 0.000 0.000
0.000 4.918 0.000
0.000 0.000 4.795
Ga As Se O
1 2 1 1
Cartesian
0.000 0.000 0.000
0.000 2.459 0.000
2.459 0.000 0.000
0.000 0.000 2.397
2.459 2.459 2.397
```

Calculated values
space group	P4/mmm, No. 123
polymorph energy (0 for the lowest one)	79.4	kJ/mol of atoms
calculated total energy	-3.044	eV/atom
formation energy from raw total energies	1.11	eV/atom
total magnetic moment	0.000	μB/f.u.

=====

No. 5
First-principles (PBE) data for an optimized crystal structure of Li2ScGa, as listed in the Alexandria database.

Cell and atoms, written as POSCAR:
```
Li2ScGa
1.0
1.495 0.863 10.376
-1.495 0.863 10.376
0.000 -1.726 10.376
Li Sc Ga
2 1 1
Cartesian
0.000 0.000 2.922
0.000 0.000 28.206
0.000 0.000 0.000
0.000 0.000 15.564
```

Calculated values
energy of formation	0.089	eV/atom
space group	R-3m, No. 166
calculated total energy	-3.207	eV/atom
total magnetic moment	0.000	μB/f.u.

=====

No. 6
First-principles (PBE) data for an optimized crystal structure of Ba7Fe, as listed in the Alexandria database.

Cell and atoms, written as POSCAR:
```
Ba7Fe
1.0
0.000 6.003 6.003
6.003 0.000 6.003
6.003 6.003 0.000
Ba Fe
7 1
Cartesian
0.000 0.000 0.000
3.001 3.001 0.000
3.001 0.000 3.001
6.003 3.001 3.001
0.000 3.001 3.001
3.001 6.003 3.001
3.001 3.001 6.003
6.003 6.003 6.003
```

Calculated values
energy of formation	0.396	eV/atom
space group	Fm-3m, No. 225
calculated total energy	-2.344	eV/atom
total magnetic moment	1.869	μB/f.u.